Tl2VCdF6 | PBE+U | relaxed

calculated density	6.77	Mg/m³
final energy	-4.620	eV per atom

Cell lengths 6.1884, 6.1989, 8.7721 Å; angles 90.00, 90.00, 90.00 degrees
Last column: nearest neighbours and their distance in Å.
Space group Immm (No. 71)
One atom of each set of equivalent atoms:
Tl 0.0000 0.0000 0.2504 [4 per cell]  12 F 3.09-3.10
V 0.0000 0.5000 0.0000 [2 per cell]  6 F 2.12-2.13
Cd 0.0000 0.5000 0.5000 [2 per cell]  6 F 2.25
F 0.0000 0.5000 0.2430 [4 per cell]  1 V 2.13, 1 Cd 2.25
F 0.2428 0.2577 0.0000 [8 per cell]  1 V 2.12, 1 Cd 2.25



Tl2V3CdF12 | PBE+U | relaxed

calculated density	4.86	Mg/m³
final energy	-5.317	eV per atom

Cell lengths 7.6432, 7.6432, 18.2743 Å; angles 90.00, 90.00, 120.00 degrees
Last column: nearest neighbours and their distance in Å.
Space group R-3m (No. 166, hexagonal axes)
One atom of each set of equivalent atoms:
Tl 0.0000 0.0000 0.1385 [6 per cell]  3 F 2.84
V 0.0000 0.5000 0.0000 [9 per cell]  6 F 2.00-2.01
Cd 0.0000 0.0000 0.5000 [3 per cell]  6 F 2.29
F 0.0260 0.5130 0.1095 [18 per cell]  1 V 2.01
F 0.0774 0.5387 0.3409 [18 per cell]  2 V 2.00



Tl3VCd2F9 | PBE+U | relaxed

calculated density	6.80	Mg/m³
final energy	-4.352	eV per atom

Cell lengths 6.2507, 6.2507, 7.6461 Å; angles 90.00, 90.00, 120.00 degrees
Last column: nearest neighbours and their distance in Å.
Space group P-3m1 (No. 164)
One atom of each set of equivalent atoms:
Tl 0.0000 0.0000 0.0000 [1 per cell]  12 F 3.13-3.14
Tl 0.3333 0.6667 0.6679 [2 per cell]  12 F 3.11-3.13
V 0.0000 0.0000 0.5000 [1 per cell]  6 F 2.13
Cd 0.3333 0.6667 0.1752 [2 per cell]  6 F 2.25
F 0.0000 0.5000 0.0000 [3 per cell]  2 Cd 2.25
F 0.1612 0.3225 0.3409 [6 per cell]  1 V 2.13, 1 Cd 2.25



TlVCd2F8 | PBE+U | relaxed

calculated density	5.40	Mg/m³
final energy	-4.534	eV per atom

Cell lengths 5.1311, 5.1439, 7.3689 Å; angles 88.26, 88.88, 89.34 degrees
Last column: nearest neighbours and their distance in Å.
Space group P-1 (No. 2)
One atom of each set of equivalent atoms:
Tl 0.0000 0.0000 0.0000 [1 per cell]  6 F 2.55-2.72
V 0.0000 0.0000 0.5000 [1 per cell]  6 F 1.97-2.05
Cd 0.4989 0.4984 0.2546 [2 per cell]  6 F 2.26-2.46
F 0.1618 0.7732 0.6883 [2 per cell]  1 V 1.97
F 0.1800 0.7900 0.3160 [2 per cell]  1 V 1.97
F 0.2985 0.2602 0.5025 [2 per cell]  1 V 2.05
F 0.4106 0.2726 0.0053 [2 per cell]  2 Cd 2.26, 1 F 2.52



TlVCdF6 | PBE+U | relaxed

calculated density	4.96	Mg/m³
final energy	-4.868	eV per atom

Cell lengths 7.6089, 7.8527, 10.7918 Å; angles 90.00, 90.00, 90.00 degrees
Last column: nearest neighbours and their distance in Å.
Space group Imma (No. 74)
One atom of each set of equivalent atoms:
Tl 0.0000 0.2500 0.1063 [4 per cell]  1 F 2.66
V 0.0000 0.0000 0.5000 [4 per cell]  6 F 1.96-1.99
Cd 0.2500 0.2500 0.7500 [4 per cell]  6 F 2.24-2.28
F 0.0000 0.2500 0.4690 [4 per cell]  2 V 1.99
F 0.0000 0.2500 0.8595 [4 per cell]  2 Cd 2.24
F 0.1836 0.0240 0.6258 [16 per cell]  1 V 1.96



TlCdWF6 | PBE+U | relaxed

calculated density	5.89	Mg/m³
final energy	-4.707	eV per atom

Cell lengths 6.0582, 6.0582, 10.9075 Å; angles 90.00, 90.00, 120.00 degrees
Last column: nearest neighbours and their distance in Å.
Space group P-31c (No. 163)
One atom of each set of equivalent atoms:
Tl 0.0000 0.0000 0.0000 [2 per cell]  6 F 2.77
Cd 0.3333 0.6667 0.2500 [2 per cell]  6 F 2.29
W 0.3333 0.6667 0.7500 [2 per cell]  6 F 2.13
F 0.0195 0.3796 0.6498 [12 per cell]  1 W 2.13, 1 Cd 2.29